Crystalline Mn2HBr2O2 at its relaxed geometry. Source: Alexandria via LeMat-Bulk, functional PBE+U.

Lattice parameters (Å, degrees): 3.689 4.375 9.058 97.74 90.00 114.93
Each line ends with the local moment (μB).
Fractional positions:
Br 0.380 0.760 0.201  -0.02
O 0.865 0.729 0.546  -0.09
Br 0.620 0.240 0.799  -0.02
H 0.000 0.000 0.500  0.01
Mn 0.320 0.639 0.640  4.41
O 0.135 0.271 0.454  -0.09
Mn 0.680 0.361 0.360  4.41

Properties
N(E_F)   2.3 states/eV/f.u.
Energy   -0.206 Ha/atom
SG   C2/m
Total moment   9.000 μB/f.u.